Density functional theory data (PBE-GGA) for crystalline TbSm2Ho3Er6 at its relaxed geometry.

It has space group C2/m (No. 12), with a = 6.1264 Å, b = 10.5999 Å, c = 11.6933 Å, α = 90.00°, β = 100.01° and γ = 90.00°. The asymmetric unit holds Tb at (0.0000, 0.0000, 0.0000), Sm at (0.0000, 0.3333, 0.0000), Ho at (0.0000, 0.1666, 0.5000), Ho at (0.0000, 0.5000, 0.5000), Er at (0.2483, 0.0000, 0.7477) and Er at (0.2488, 0.3335, 0.7478).

Its total magnetic moment is 0.000 μB/f.u.

***

Density functional theory data (PBE-GGA) for crystalline TbSm2HoEr2 at its relaxed geometry.

It has space group Pnnm (No. 58), with a = 6.5126 Å, b = 17.8985 Å, c = 3.3834 Å, α = 90.00°, β = 90.00° and γ = 90.00°. The asymmetric unit holds Tb at (0.0000, 0.0000, 0.0000), Sm at (0.2253, 0.1869, 0.0000), Ho at (0.0000, 0.5000, 0.0000) and Er at (0.2230, 0.3544, 0.5000).

Its total magnetic moment is 0.000 μB/f.u.

***

| no. | energy of formation (eV per formula unit) |
| --- | --- |
| 1 | 0.2 |
| 2 | 1.6 |